Er2TmMg: optimized geometry, PBE.

Unit cell a=3.4736 b=3.4736 c=11.2850 alpha=81.15 beta=81.15 gamma=60.00
Last column: nearest neighbours and their distance in Å.
Fractional positions:
Er (0.2520, 0.2520, 0.2441)  3 Mg 3.37, 6 Er 3.47, 3 Tm 3.48
Er (0.7480, 0.7480, 0.7559)  3 Mg 3.37, 6 Er 3.47, 3 Tm 3.48
Tm (0.5000, 0.5000, 0.5000)  6 Tm 3.47, 6 Er 3.48
Mg (0.0000, 0.0000, 0.0000)  6 Er 3.37, 6 Mg 3.47

Output
Calculated formation energy = 0.02 eV/atom
Spin magnetization = 0.00 μB/f.u.
V = 29.01 Å³/atom
Total DFT energy (no corrections) = -3.78 eV per atom

Er8TmMg2: optimized geometry, PBE.

Unit cell a=5.2679 b=8.2985 c=8.5821 alpha=114.23 beta=107.87 gamma=90.00
Last column: nearest neighbours and their distance in Å.
Fractional positions:
Mg (0.2272, 0.6287, 0.4544)  8 Er 3.15-3.27
Er (0.5999, 0.4706, 0.1998)  3 Mg 3.26-3.27, 4 Er 3.50-3.60, 1 Tm 3.52
Er (0.1463, 0.2015, 0.2925)  3 Mg 3.21-3.27, 3 Er 3.45-3.58, 2 Tm 3.46
Er (0.3122, 0.0496, 0.6243)  1 Mg 3.15, 5 Er 3.21-3.45, 1 Tm 3.27
Er (0.4001, 0.5294, 0.8002)  3 Mg 3.26-3.27, 4 Er 3.50-3.60, 1 Tm 3.52
Mg (0.7728, 0.3713, 0.5456)  8 Er 3.15-3.27
Er (0.9431, 0.2652, 0.8862)  1 Mg 3.26, 7 Er 3.38-3.58
Er (0.0569, 0.7348, 0.1138)  1 Mg 3.26, 7 Er 3.38-3.58
Tm (0.5000, 0.0000, 0.0000)  8 Er 3.27-3.52
Er (0.8537, 0.7985, 0.7075)  3 Mg 3.21-3.27, 3 Er 3.45-3.58, 2 Tm 3.46
Er (0.6878, 0.9504, 0.3757)  1 Mg 3.15, 5 Er 3.21-3.45, 1 Tm 3.27

Output
Calculated formation energy = 0.02 eV/atom
Spin magnetization = 0.00 μB/f.u.
V = 29.29 Å³/atom
Total DFT energy (no corrections) = -3.99 eV per atom

ErTm5Mg4: optimized geometry, PBE.

Unit cell a=3.5793 b=3.5793 c=21.4043 alpha=90.00 beta=90.00 gamma=90.00
Last column: nearest neighbours and their distance in Å.
Fractional positions:
Mg (0.0000, 0.0000, 0.2127)  8 Tm 3.28-3.33, 4 Mg 3.58
Tm (0.5000, 0.5000, 0.5000)  8 Mg 3.25, 4 Tm 3.58
Tm (0.5000, 0.5000, 0.1119)  4 Mg 3.33, 4 Er 3.48, 4 Tm 3.58
Mg (0.0000, 0.0000, 0.7873)  8 Tm 3.28-3.33, 4 Mg 3.58
Tm (0.5000, 0.5000, 0.3103)  8 Mg 3.24-3.28, 4 Tm 3.58
Mg (0.0000, 0.0000, 0.4050)  8 Tm 3.24-3.25, 4 Mg 3.58
Er (0.0000, 0.0000, 0.0000)  8 Tm 3.48, 4 Er 3.58
Tm (0.5000, 0.5000, 0.6897)  8 Mg 3.24-3.28, 4 Tm 3.58
Mg (0.0000, 0.0000, 0.5950)  8 Tm 3.24-3.25, 4 Mg 3.58
Tm (0.5000, 0.5000, 0.8881)  4 Mg 3.33, 4 Er 3.48, 4 Tm 3.58

Output
Calculated formation energy = -0.03 eV/atom
Spin magnetization = 0.00 μB/f.u.
V = 27.42 Å³/atom
Total DFT energy (no corrections) = -3.36 eV per atom

ErTm6Mg: optimized geometry, PBE.

Unit cell a=4.9629 b=6.8793 c=6.8793 alpha=90.06 beta=90.00 gamma=90.00
Last column: nearest neighbours and their distance in Å.
Fractional positions:
Tm (0.0000, 0.7469, 0.7469)  8 Tm 3.40-3.48, 2 Er 3.45, 2 Mg 3.49
Tm (0.0000, 0.7467, 0.2533)  8 Tm 3.40-3.48, 2 Er 3.45, 2 Mg 3.50
Tm (0.5000, 0.0000, 0.5000)  2 Er 3.44, 2 Mg 3.44, 8 Tm 3.47-3.48
Er (0.5000, 0.5000, 0.5000)  12 Tm 3.44-3.45
Mg (0.5000, 0.0000, 0.0000)  12 Tm 3.44-3.50
Tm (0.0000, 0.2531, 0.2531)  8 Tm 3.40-3.48, 2 Er 3.45, 2 Mg 3.49
Tm (0.5000, 0.5000, 0.0000)  2 Mg 3.44, 2 Er 3.44, 8 Tm 3.47-3.48
Tm (0.0000, 0.2533, 0.7467)  8 Tm 3.40-3.48, 2 Er 3.45, 2 Mg 3.50

Output
Calculated formation energy = 0.04 eV/atom
Spin magnetization = 0.00 μB/f.u.
V = 29.36 Å³/atom
Total DFT energy (no corrections) = -4.08 eV per atom

Er6Tm8Mg: optimized geometry, PBE.

Unit cell a=6.5399 b=9.1559 c=9.1559 alpha=120.00 beta=90.00 gamma=90.00
Last column: nearest neighbours and their distance in Å.
Fractional positions:
Er (0.5985, 0.4105, 0.3193)  1 Er 3.14, 4 Tm 3.15-3.50, 1 Mg 3.48
Er (0.5985, 0.9088, 0.5895)  1 Er 3.14, 4 Tm 3.15-3.50, 1 Mg 3.48
Tm (0.1041, 0.6666, 0.9813)  4 Er 3.15-3.50, 5 Tm 3.26-3.51
Er (0.4015, 0.3193, 0.9088)  1 Er 3.14, 4 Tm 3.15-3.50, 1 Mg 3.48
Tm (0.8959, 0.9813, 0.3147)  4 Er 3.15-3.50, 5 Tm 3.26-3.51
Tm (0.1041, 0.3147, 0.3334)  4 Er 3.15-3.50, 5 Tm 3.26-3.51
Er (0.5985, 0.6807, 0.0912)  1 Er 3.14, 4 Tm 3.15-3.50, 1 Mg 3.48
Tm (0.1041, 0.0187, 0.6853)  4 Er 3.15-3.50, 5 Tm 3.26-3.51
Tm (0.1740, 0.6667, 0.3333)  6 Tm 3.26-3.48, 3 Er 3.60
Tm (0.8260, 0.3333, 0.6667)  6 Tm 3.26-3.48, 3 Er 3.60
Tm (0.8959, 0.3334, 0.0187)  4 Er 3.15-3.50, 5 Tm 3.26-3.51
Mg (0.5000, 0.0000, 0.0000)  6 Er 3.48
Tm (0.8959, 0.6853, 0.6666)  4 Er 3.15-3.50, 5 Tm 3.26-3.51
Er (0.4015, 0.5895, 0.6807)  1 Er 3.14, 4 Tm 3.15-3.50, 1 Mg 3.48
Er (0.4015, 0.0912, 0.4105)  1 Er 3.14, 4 Tm 3.15-3.50, 1 Mg 3.48

Output
Calculated formation energy = 0.26 eV/atom
Spin magnetization = 0.03 μB/f.u.
V = 31.65 Å³/atom
Total DFT energy (no corrections) = -4.06 eV per atom

Er3TmMg4: optimized geometry, PBE.

Unit cell a=3.7574 b=3.7574 c=15.0719 alpha=90.00 beta=90.00 gamma=90.00
Last column: nearest neighbours and their distance in Å.
Fractional positions:
Mg (0.0000, 0.0000, 0.8755)  4 Tm 3.25, 4 Er 3.26
Er (0.5000, 0.5000, 0.5000)  8 Mg 3.26
Er (0.5000, 0.5000, 0.7502)  8 Mg 3.26
Mg (0.0000, 0.0000, 0.6251)  8 Er 3.26
Mg (0.0000, 0.0000, 0.1245)  4 Tm 3.25, 4 Er 3.26
Tm (0.5000, 0.5000, 0.0000)  8 Mg 3.25
Mg (0.0000, 0.0000, 0.3749)  8 Er 3.26
Er (0.5000, 0.5000, 0.2498)  8 Mg 3.26

Output
Calculated formation energy = -0.07 eV/atom
Spin magnetization = 0.00 μB/f.u.
V = 26.60 Å³/atom
Total DFT energy (no corrections) = -3.13 eV per atom